1.
First-principles (meta-GGA SCAN) data for ZrSi2 at its PBEsol-relaxed geometry, as listed in the Alexandria database.

Results
M_tot: 0.00 μB per cell
E_form (uncorrected): -1.301 eV/f.u.
D(E_F): 0.86 states/eV per cell
SG: Cm, No. 8
electronic total energy: -17.3437 eV per atom

Cell lengths 3.646, 5.049, 6.055 Å; angles 102.83, 90.00, 111.16 degrees
Fractional coordinates of all 6 atoms:
Si: 0.436 0.873 0.192
Si: 0.028 0.057 0.007
Zr: 0.736 0.472 0.974
Zr: 0.982 0.964 0.551
Si: 0.299 0.599 0.674
Si: 0.684 0.369 0.436

---

2.
First-principles (meta-GGA SCAN) data for ZrSi5 at its PBEsol-relaxed geometry, as listed in the Alexandria database.

Results
M_tot: 0.00 μB per cell
E_form (uncorrected): 0.999 eV/f.u.
D(E_F): 2.53 states/eV per cell
SG: Cmmm, No. 65
electronic total energy: -13.2965 eV per atom

Cell lengths 3.730, 3.842, 6.598 Å; angles 90.00, 106.42, 90.00 degrees
Fractional coordinates of all 6 atoms:
Si: 0.674 0.500 0.349
Si: 0.167 0.000 0.333
Zr: 0.500 0.000 0.000
Si: 0.833 0.000 0.667
Si: 0.000 0.500 0.000
Si: 0.326 0.500 0.651

---

3.
First-principles (meta-GGA SCAN) data for Zr3Si2 at its PBEsol-relaxed geometry, as listed in the Alexandria database.

Results
M_tot: 0.00 μB per cell
E_form (uncorrected): -4.551 eV/f.u.
D(E_F): 8.18 states/eV per cell
SG: P4/mbm, No. 127
electronic total energy: -23.3358 eV per atom

Cell lengths 3.643, 7.059, 7.059 Å; angles 90.00, 90.00, 90.00 degrees
Fractional coordinates of all 10 atoms:
Zr: 0.500 0.175 0.675
Zr: 0.500 0.675 0.825
Zr: 0.000 0.500 0.500
Zr: 0.000 0.000 0.000
Zr: 0.500 0.325 0.175
Si: 0.000 0.622 0.122
Si: 0.000 0.122 0.378
Si: 0.000 0.878 0.622
Zr: 0.500 0.825 0.325
Si: 0.000 0.378 0.878

---

4.
First-principles (meta-GGA SCAN) data for ZrSi2 at its PBEsol-relaxed geometry, as listed in the Alexandria database.

Results
M_tot: 0.00 μB per cell
E_form (uncorrected): -1.900 eV/f.u.
D(E_F): 1.00 states/eV per cell
SG: Cmcm, No. 63
electronic total energy: -17.5433 eV per atom

Cell lengths 3.660, 3.671, 7.502 Å; angles 75.84, 90.00, 90.00 degrees
Fractional coordinates of all 6 atoms:
Si: 0.250 0.554 0.892
Si: 0.250 0.250 0.500
Si: 0.750 0.750 0.500
Zr: 0.250 0.895 0.209
Si: 0.750 0.446 0.108
Zr: 0.750 0.105 0.791

---

5.
First-principles (meta-GGA SCAN) data for Sm at its PBEsol-relaxed geometry, as listed in the Alexandria database.

Results
M_tot: 0.00 μB per cell
energy above the most stable polymorph in this dataset: 0.0 meV per atom
D(E_F): 3.44 states/eV per cell
SG: R-3m, No. 166
electronic total energy: -44.4422 eV per atom

Cell lengths 8.826, 8.826, 8.826 Å; angles 23.35, 23.35, 23.35 degrees
Fractional coordinates of all 3 atoms:
Sm: 0.778 0.778 0.778
Sm: 0.222 0.222 0.222
Sm: 0.000 0.000 0.000

---

6.
First-principles (meta-GGA SCAN) data for Sm at its PBEsol-relaxed geometry, as listed in the Alexandria database.

Results
M_tot: 0.00 μB per cell
energy above the most stable polymorph in this dataset: 10.1 meV per atom
D(E_F): 1.32 states/eV per cell
SG: Fm-3m, No. 225
electronic total energy: -44.4321 eV per atom

Cell lengths 3.545, 3.545, 3.545 Å; angles 60.00, 60.00, 60.00 degrees
Fractional coordinates of all 1 atoms:
Sm: 0.500 0.500 0.500

---

7.
First-principles (meta-GGA SCAN) data for Sm at its PBEsol-relaxed geometry, as listed in the Alexandria database.

Results
M_tot: 0.02 μB per cell
energy above the most stable polymorph in this dataset: 25.5 meV per atom
D(E_F): 3.22 states/eV per cell
SG: P6_3/mmc, No. 194
electronic total energy: -44.4167 eV per atom

Cell lengths 3.572, 3.572, 5.735 Å; angles 90.00, 90.00, 120.00 degrees
Fractional coordinates of all 2 atoms:
Sm: 0.333 0.667 0.250
Sm: 0.667 0.333 0.750

---

8.
First-principles (meta-GGA SCAN) data for SmSn3 at its PBEsol-relaxed geometry, as listed in the Alexandria database.

Results
M_tot: 0.00 μB per cell
D(E_F): 2.01 states/eV per cell
SG: Pm-3m, No. 221
electronic total energy: -38.5758 eV per atom

Cell lengths 4.662, 4.662, 4.662 Å; angles 90.00, 90.00, 90.00 degrees
Fractional coordinates of all 4 atoms:
Sn: 0.500 0.000 0.500
Sn: 0.500 0.500 0.000
Sm: 0.000 0.000 0.000
Sn: 0.000 0.500 0.500

---

9.
First-principles (meta-GGA SCAN) data for SmSn2 at its PBEsol-relaxed geometry, as listed in the Alexandria database.

Results
M_tot: 0.00 μB per cell
D(E_F): 2.52 states/eV per cell
SG: Cmmm, No. 65
electronic total energy: -39.4752 eV per atom

Cell lengths 4.407, 4.479, 8.175 Å; angles 90.00, 105.64, 90.00 degrees
Fractional coordinates of all 6 atoms:
Sn: 0.000 0.000 0.000
Sm: 0.645 0.000 0.290
Sm: 0.355 0.000 0.710
Sn: 0.184 0.500 0.368
Sn: 0.500 0.500 0.000
Sn: 0.816 0.500 0.632

---

10.
First-principles (meta-GGA SCAN) data for Sm4Sn3 at its PBEsol-relaxed geometry, as listed in the Alexandria database.

Results
M_tot: 0.00 μB per cell
D(E_F): 1.54 states/eV per cell
SG: I-43d, No. 220
electronic total energy: -41.6758 eV per atom

Cell lengths 8.083, 8.083, 8.083 Å; angles 109.47, 109.47, 109.47 degrees
Fractional coordinates of all 14 atoms:
Sn: 0.625 0.375 0.250
Sm: 0.500 0.141 0.500
Sm: 0.000 0.500 0.141
Sm: 0.500 0.641 0.500
Sn: 0.750 0.625 0.875
Sm: 0.859 0.859 0.359
Sn: 0.875 0.125 0.750
Sm: 0.359 0.359 0.859
Sm: 0.641 0.000 0.000
Sn: 0.125 0.250 0.375
Sn: 0.250 0.875 0.625
Sn: 0.375 0.750 0.125
Sm: 0.141 0.000 0.000
Sm: 0.000 0.500 0.641

---

11.
First-principles (meta-GGA SCAN) data for Sm2Sn5 at its PBEsol-relaxed geometry, as listed in the Alexandria database.

Results
M_tot: 0.00 μB per cell
D(E_F): 4.40 states/eV per cell
SG: Cmmm, No. 65
electronic total energy: -38.9732 eV per atom

Cell lengths 4.529, 4.566, 17.436 Å; angles 90.00, 97.46, 90.00 degrees
Fractional coordinates of all 14 atoms:
Sn: 0.720 0.000 0.441
Sn: 0.639 0.500 0.278
Sn: 0.571 0.000 0.143
Sn: 0.000 0.000 0.000
Sn: 0.861 0.000 0.721
Sn: 0.500 0.500 0.000
Sn: 0.361 0.500 0.722
Sm: 0.929 0.500 0.859
Sn: 0.429 0.000 0.857
Sn: 0.280 0.000 0.559
Sm: 0.204 0.500 0.408
Sn: 0.139 0.000 0.279
Sm: 0.071 0.500 0.141
Sm: 0.796 0.500 0.592

---

12.
First-principles (meta-GGA SCAN) data for TbSm3 at its PBEsol-relaxed geometry, as listed in the Alexandria database.

Results
M_tot: 0.00 μB per cell
D(E_F): 12.68 states/eV per cell
SG: P6_3/mmc, No. 194
electronic total energy: -44.9998 eV per atom

Cell lengths 5.694, 7.131, 7.131 Å; angles 120.00, 90.00, 90.00 degrees
Fractional coordinates of all 8 atoms:
Sm: 0.250 0.666 0.833
Sm: 0.750 0.833 0.167
Tb: 0.250 0.667 0.333
Sm: 0.750 0.833 0.666
Sm: 0.250 0.167 0.833
Sm: 0.750 0.334 0.167
Sm: 0.250 0.167 0.334
Tb: 0.750 0.333 0.667